VASP calculation (PBE-GGA) on crystalline NdPb2S4 at its relaxed geometry.

POSCAR file:
```
NdPb2S4
1.0
-3.156 2.484 -0.002
-1.106 -4.657 -5.307
-6.392 -8.113 8.451
S Nd Pb
8 2 4
direct
0.500 0.000 0.000
0.786 0.573 0.368
0.786 0.573 0.132
0.214 0.427 0.632
0.214 0.427 0.868
0.500 0.000 0.500
0.035 0.070 0.250
0.965 0.930 0.750
0.390 0.780 0.250
0.610 0.220 0.750
0.867 0.735 0.565
0.867 0.735 0.935
0.133 0.265 0.435
0.133 0.265 0.065
```

Calculated values
- ΔE_f (raw) (eV/atom) = -0.9176
- spin magnetization (μB/atom) = 0.000
- space group = No. 63
- crystal system = orthorhombic
- theoretical density (g/cm³) = 6.21
- VASP energy (eV/atom) = -5.017